{"formula": "Sr3Dy3NpS8", "functional": "PBE", "state": "optimized geometry", "lattice_angstrom": [[8.0125, 0.0002, -0.0001], [-4.0061, 6.9388, -0.0247], [-0.0002, -4.6013, 6.8796]], "species": ["Sr", "Sr", "Sr", "Dy", "Dy", "Dy", "Np", "S", "S", "S", "S", "S", "S", "S", "S"], "fractional_positions": [[0.0000, 0.0000, 0.0000], [0.0000, 0.5000, 0.0000], [0.5000, 0.5000, 0.0000], [0.5000, 0.0000, 0.5000], [0.5000, 0.5000, 0.5000], [0.0000, 0.5000, 0.5000], [0.0000, 0.0000, 0.5000], [0.2570, 0.5141, 0.2712], [0.7430, 0.4859, 0.7288], [0.7574, 0.5148, 0.2753], [0.2426, 0.4852, 0.7247], [0.7573, 0.0179, 0.2752], [0.2427, 0.9821, 0.7248], [0.2605, 0.0179, 0.2752], [0.7395, 0.9821, 0.7248]], "e_form_raw_ev_per_atom": -1.946, "final_energy_ev_per_cell": -94.00, "magmom_total_mub_per_fu": 4.34}